Compound: Li2Pu3PaSe6
Source: the Alexandria database
Functional: PBE-GGA
Structure: optimized geometry

The space group is C2/m (No. 12) and the conventional cell measures 17.745, 4.089 and 8.196 Å, with angles of 90.00, 101.95 and 90.00 degrees. The asymmetric unit holds Li at (0.175, 0.000, 0.356), Pu at (0.000, 0.500, 0.500), Pu at (0.168, 0.000, 0.828), Pa at (0.000, 0.500, 0.000), Se at (0.003, 0.000, 0.250), Se at (0.164, 0.500, 0.085) and Se at (0.169, 0.500, 0.577).

Its uncorrected formation energy is -1.387 eV per atom. The calculated volume is 24.24 Å³/atom.

***

Compound: LiPu3Pa3Se8
Source: the Alexandria database
Functional: PBE-GGA
Structure: optimized geometry

The space group is C2/m (No. 12) and the conventional cell measures 14.048, 8.114 and 8.176 Å, with angles of 90.00, 124.91 and 90.00 degrees. The asymmetric unit holds Li at (0.000, 0.000, 0.000), Pu at (0.000, 0.000, 0.500), Pu at (0.250, 0.250, 0.000), Pa at (0.000, 0.500, 0.000), Pa at (0.250, 0.250, 0.500), Se at (0.002, 0.250, 0.248), Se at (0.248, 0.000, 0.251) and Se at (0.249, 0.000, 0.751).

Its uncorrected formation energy is -1.366 eV per atom. The calculated volume is 25.47 Å³/atom.

***

Compound: LiPu2PaSe6
Source: the Alexandria database
Functional: PBE-GGA
Structure: optimized geometry

The space group is P4mm (No. 99) and the conventional cell measures 6.682, 6.682 and 6.671 Å, with angles of 90.00, 90.00 and 90.00 degrees. The asymmetric unit holds Li at (0.000, 0.000, 0.000), Pu at (0.000, 0.500, 0.468), Pa at (0.500, 0.500, 0.058), Se at (0.000, 0.000, 0.632), Se at (0.238, 0.238, 0.209) and Se at (0.500, 0.500, 0.639).

Its uncorrected formation energy is -1.033 eV per atom. The calculated volume is 29.78 Å³/atom.